Record 1
Mg2InCu9 | Alexandria | PBE-GGA | optimized geometry; magnetization = 0.00 Bohr magnetons per cell; E_form = -0.04 eV per atom; space-group type = No. 166; E = -3.603 eV per atom
1.0
2.4897 1.4374 8.0832
-2.4897 1.4374 8.0832
0.0000 -2.8749 8.0832
Mg In Cu
2 1 9
Cartesian
0.0000 0.0000 3.4647
0.0000 0.0000 20.7849
0.0000 0.0000 0.0000
-1.2588 -0.7268 10.1456
0.0000 0.0000 8.0809
0.0000 -1.4535 14.1041
-1.2588 0.7268 14.1041
0.0000 0.0000 12.1248
1.2588 -0.7268 10.1456
0.0000 1.4535 10.1456
0.0000 0.0000 16.1688
1.2588 0.7268 14.1041



Record 2
La2MgCdFe | Alexandria | PBE-GGA | optimized geometry; ΔE to the lowest computed polymorph = 0 meV/atom; magnetization = 0.00 Bohr magnetons per cell; E_form = -0.07 eV per atom; space-group type = No. 123; E = -4.234 eV per atom
1.0
5.1113 0.0000 0.0000
0.0000 5.1113 0.0000
0.0000 0.0000 5.1932
La Mg Cd Fe
2 1 1 1
Cartesian
0.0000 2.5557 0.0000
2.5557 0.0000 0.0000
0.0000 0.0000 2.5966
2.5557 2.5557 2.5966
0.0000 0.0000 0.0000



Record 3
ReTeRh2 | Alexandria | PBE-GGA | optimized geometry; magnetization = 0.01 Bohr magnetons per cell; space-group type = No. 123; E = -7.152 eV per atom; ΔE_f (raw) = 0.422 eV per atom
1.0
4.7952 0.0000 0.0000
0.0000 4.7952 0.0000
0.0000 0.0000 2.8693
Re Te Rh
1 1 2
Cartesian
0.0000 0.0000 0.0000
2.3976 2.3976 0.0000
0.0000 2.3976 1.4346
2.3976 0.0000 1.4346



Record 4
RbCeCdCl6 | Alexandria | PBE-GGA | optimized geometry; magnetization = 2.00 Bohr magnetons per cell; space-group type = No. 74; E = -3.831 eV per atom; ΔE_f (raw) = -1.732 eV per atom
1.0
-4.8203 5.0922 7.1410
4.8203 -5.0922 7.1410
4.8203 5.0922 -7.1410
Rb Ce Cd Cl
2 2 2 12
Cartesian
0.0000 2.5461 0.4247
4.8203 2.5461 6.7163
4.8203 0.0000 0.0000
0.0000 0.0000 7.1410
2.4102 2.5461 -3.5705
2.4102 -2.5461 3.5705
2.7136 -0.6320 1.6700
6.9271 -0.6320 1.6700
4.8203 -2.5461 4.3769
2.7136 4.4602 -1.6700
2.1068 -0.6320 5.4710
4.8203 2.5461 1.1494
0.0000 2.5461 5.9917
2.7136 5.7242 1.6700
2.1068 0.6320 8.8111
0.0000 7.6383 2.7642
-2.1068 5.7242 5.4710
2.1068 5.7242 5.4710



Record 5
Sr2SmMg12Cd3 | Alexandria | PBE-GGA | optimized geometry; magnetization = 0.00 Bohr magnetons per cell; E_form = 0.19 eV per atom; space-group type = No. 166; E = -1.471 eV per atom
1.0
4.4302 2.5578 8.2960
-4.4302 2.5578 8.2960
0.0000 -5.1155 8.2960
Sr Sm Mg Cd
2 1 12 3
Cartesian
0.0000 0.0000 2.0363
0.0000 0.0000 22.8518
0.0000 0.0000 12.4440
-2.7830 -1.6068 11.5886
0.0000 -1.8322 9.9306
-1.5867 0.9161 9.9306
0.0000 -3.2135 13.2995
-2.7830 1.6068 13.2995
-1.5867 -0.9161 14.9575
1.5867 0.9161 9.9306
2.7830 -1.6068 11.5886
0.0000 3.2135 11.5886
1.5867 -0.9161 14.9575
0.0000 1.8322 14.9575
2.7830 1.6068 13.2995
-2.2151 -1.2789 8.2960
-2.2151 1.2789 16.5920
0.0000 2.5578 8.2960



Record 6
HgOsPb2 | Alexandria | PBE-GGA | optimized geometry; magnetization = 0.00 Bohr magnetons per cell; E_form = 0.52 eV per atom; space-group type = No. 166; E = -4.214 eV per atom
1.0
1.6690 0.9636 10.4225
-1.6690 0.9636 10.4225
0.0000 -1.9272 10.4225
Hg Os Pb
1 1 2
Cartesian
0.0000 0.0000 0.0000
0.0000 0.0000 15.6338
0.0000 0.0000 7.3207
0.0000 0.0000 23.9469



Record 7
CaAcSeS | Alexandria | PBE-GGA | optimized geometry; magnetization = 0.00 Bohr magnetons per cell; space-group type = No. 160; E = -5.394 eV per atom; ΔE_f (raw) = -1.964 eV per atom
1.0
2.1139 1.2204 7.0766
-2.1139 1.2204 7.0766
0.0000 -2.4409 7.0766
Ca Ac Se S
1 1 1 1
Cartesian
0.0000 0.0000 0.0000
0.0000 0.0000 10.4547
0.0000 0.0000 5.3653
0.0000 0.0000 15.6982



Record 8
LaZn2Sn2 | Alexandria | PBE-GGA | optimized geometry; magnetization = 0.22 Bohr magnetons per cell; E_form = -0.16 eV per atom; space-group type = No. 127; E = -3.258 eV per atom
1.0
8.3602 0.0000 0.0000
0.0000 8.3602 0.0000
0.0000 0.0000 3.4649
La Zn Sn
2 4 4
Cartesian
0.0000 0.0000 0.0000
4.1801 4.1801 0.0000
1.3417 2.8385 1.7325
2.8385 7.0186 1.7325
5.5218 1.3417 1.7325
7.0186 5.5218 1.7325
1.1247 5.3048 0.0000
3.0554 1.1247 0.0000
5.3048 7.2355 0.0000
7.2355 3.0554 0.0000